DFT (GGA-PBE) results for Gd2YEr after structural relaxation.

Output
Its space-group type is P4/mmm (123). The excess energy over the best structure of this formula in the dataset comes out at 2 meV per atom. Its total magnetization is 14.439 μB/f.u. The total energy is -39.1 eV per cell. The formation energy is 0.030 eV per atom.

```
4
Lattice="3.5598 0.0000 0.0000 0.0000 3.5598 0.0000 0.0000 0.0000 10.0632" Properties=species:S:1:pos:R:3 pbc="T T T"
Y 1.7799 1.7799 5.0316
Er 1.7799 1.7799 0.0000
Gd 0.0000 0.0000 7.5781
Gd 0.0000 0.0000 2.4851
```